(1)
Compound: BeCo4Au
Source: the Alexandria database
Functional: GGA-PBEsol
Structure: relaxed

Cell: 6.555 6.555 6.555 Å, 90.00 90.00 90.00°
Space group F-43m (No. 216)
Inequivalent atoms, fractional coordinates:
Be 0.000 0.000 0.000
Co 0.125 0.125 0.625
Au 0.250 0.250 0.250

- DOS(E_F): 27.0 states/eV/cell
- E_tot: -37.22 eV per formula unit
- Density: 10.42 g/cm³

***

(2)
Compound: BeCo2Au
Source: the Alexandria database
Functional: GGA-PBEsol
Structure: relaxed

Cell: 3.360 3.360 17.568 Å, 90.00 90.00 90.00°
Space group I-42d (No. 122)
Inequivalent atoms, fractional coordinates:
Be 0.000 0.000 0.000
Co 0.219 0.250 0.125
Au 0.000 0.000 0.500

- DOS(E_F): 10.8 states/eV/cell
- E_tot: -21.96 eV per formula unit
- Density: 10.85 g/cm³

***

(3)
Compound: BeCoAu3
Source: the Alexandria database
Functional: GGA-PBEsol
Structure: relaxed

Cell: 4.636 4.636 4.636 Å, 90.00 90.00 90.00°
Space group Pm-3m (No. 221)
Inequivalent atoms, fractional coordinates:
Be 0.000 0.000 0.000
Co 0.500 0.500 0.500
Au 0.000 0.500 0.500

- DOS(E_F): 5.5 states/eV/cell
- E_tot: -17.39 eV per formula unit
- Density: 10.98 g/cm³

***

(4)
Compound: Be4CoAu
Source: the Alexandria database
Functional: GGA-PBEsol
Structure: relaxed

Cell: 6.074 6.074 6.074 Å, 90.00 90.00 90.00°
Space group F-43m (No. 216)
Inequivalent atoms, fractional coordinates:
Be 0.124 0.124 0.376
Co 0.250 0.250 0.750
Au 0.000 0.000 0.000

- DOS(E_F): 13.0 states/eV/cell
- E_tot: -28.74 eV per formula unit
- Density: 8.65 g/cm³

***

(5)
Compound: BeCo2Au
Source: the Alexandria database
Functional: GGA-PBEsol
Structure: relaxed

Cell: 3.465 3.465 7.695 Å, 90.00 90.00 90.00°
Space group I4/mmm (No. 139)
Inequivalent atoms, fractional coordinates:
Be 0.000 0.000 0.000
Co 0.000 0.500 0.250
Au 0.000 0.000 0.500

- DOS(E_F): 10.0 states/eV/cell
- E_tot: -23.03 eV per formula unit
- Density: 11.64 g/cm³

***

(6)
Compound: BeCrAu2
Source: the Alexandria database
Functional: GGA-PBEsol
Structure: relaxed

Cell: 2.749 2.749 7.041 Å, 90.00 90.00 90.00°
Space group P4mm (No. 99)
Inequivalent atoms, fractional coordinates:
Be 0.000 0.000 0.000
Cr 0.500 0.500 0.203
Au 0.000 0.000 0.464
Au 0.500 0.500 0.792

- DOS(E_F): 2.3 states/eV/cell
- E_tot: -21.60 eV per formula unit
- Density: 14.20 g/cm³

***

(7)
Compound: Be2CrAu
Source: the Alexandria database
Functional: GGA-PBEsol
Structure: relaxed

Cell: 3.551 3.551 7.473 Å, 90.00 90.00 90.00°
Space group I-4m2 (No. 119)
Inequivalent atoms, fractional coordinates:
Be 0.000 0.000 0.000
Be 0.000 0.500 0.250
Cr 0.000 0.000 0.500
Au 0.000 0.500 0.750

- DOS(E_F): 7.5 states/eV/cell
- E_tot: -21.36 eV per formula unit
- Density: 9.41 g/cm³

***

(8)
Compound: Be2CrAu
Source: the Alexandria database
Functional: GGA-PBEsol
Structure: relaxed

Cell: 2.699 2.699 6.082 Å, 90.00 90.00 90.00°
Space group P4mm (No. 99)
Inequivalent atoms, fractional coordinates:
Be 0.000 0.000 0.000
Be 0.500 0.500 0.183
Cr 0.000 0.000 0.414
Au 0.500 0.500 0.743

- DOS(E_F): 3.2 states/eV/cell
- E_tot: -21.61 eV per formula unit
- Density: 10.00 g/cm³

***

(9)
Compound: Be2CrAu
Source: the Alexandria database
Functional: GGA-PBEsol
Structure: relaxed

Cell: 3.610 2.945 8.494 Å, 90.00 90.00 90.00°
Space group Amm2 (No. 38)
Inequivalent atoms, fractional coordinates:
Be 0.000 0.000 0.000
Be 0.500 0.000 0.144
Cr 0.500 0.000 0.429
Au 0.000 0.000 0.724

- DOS(E_F): 2.3 states/eV/cell
- E_tot: -21.97 eV per formula unit
- Density: 9.82 g/cm³

***

(10)
Compound: BeCrGa2Au
Source: the Alexandria database
Functional: GGA-PBEsol
Structure: relaxed

Cell: 4.807 4.807 4.349 Å, 90.00 90.00 90.00°
Space group P4/mmm (No. 123)
Inequivalent atoms, fractional coordinates:
Be 0.000 0.000 0.000
Cr 0.500 0.500 0.000
Ga 0.000 0.500 0.500
Au 0.000 0.000 0.500

- DOS(E_F): 2.6 states/eV/cell
- E_tot: -21.05 eV per formula unit
- Density: 6.57 g/cm³

***

(11)
Compound: Cs2BeAu
Source: the Alexandria database
Functional: GGA-PBEsol
Structure: relaxed

Cell: 8.354 8.354 8.354 Å, 90.00 90.00 90.00°
Space group Fm-3m (No. 225)
Inequivalent atoms, fractional coordinates:
Cs 0.250 0.250 0.250
Be 0.000 0.000 0.000
Au 0.000 0.000 0.500

- DOS(E_F): 10.2 states/eV/cell
- E_tot: -7.48 eV per formula unit
- Density: 5.38 g/cm³

***

(12)
Compound: CsKBeAu2
Source: the Alexandria database
Functional: GGA-PBEsol
Structure: relaxed

Cell: 5.853 5.853 6.437 Å, 90.00 90.00 90.00°
Space group P4/mmm (No. 123)
Inequivalent atoms, fractional coordinates:
Cs 0.000 0.000 0.000
K 0.000 0.000 0.500
Be 0.500 0.500 0.000
Au 0.000 0.500 0.500

- E_tot: -8.61 eV per formula unit
- Density: 4.33 g/cm³

***

| no. | calculated formation energy (kJ/mol of formula units) |
| --- | --- |
| 1 | 159.4 |
| 2 | 139.1 |
| 3 | 590.8 |
| 4 | -103.8 |
| 5 | 35.1 |
| 6 | 46.9 |
| 7 | 77.9 |
| 8 | 54.0 |
| 9 | 18.5 |
| 10 | 365.9 |
| 11 | 224.3 |
| 12 | 513.0 |